The following is a DFT calculation (GGA-PBE) of crystalline AlGeSN2 at its relaxed geometry.

As for the polymorph energy (0 for the lowest one): 256 meV/atom. The density of states at the Fermi level comes out at 1.709 states/eV/f.u. For the energy relative to the elements, uncorrected, the calculation gives 0.879 eV/atom. The calculation puts the total energy at -4.949 eV per atom.

The space group is P4/mmm (No. 123) and the conventional cell measures 3.629, 3.629 and 5.700 Å, with angles of 90.00, 90.00 and 90.00 degrees. The inequivalent atoms are Al at (0.000, 0.000, 0.000), Ge at (0.500, 0.500, 0.500), S at (0.500, 0.500, 0.000) and N at (0.000, 0.500, 0.500).

---

The following is a DFT calculation (GGA-PBE) of crystalline Ca4AgPd at its relaxed geometry.

The formation energy comes out at -0.3834 eV per atom. As for the polymorph energy (0 for the lowest one): 0 meV/atom. The density of states at the Fermi level comes out at 4.500 states/eV/f.u. The calculation puts the total energy at -3.058 eV per atom.

The space group is P4/mcc (No. 124) and the conventional cell measures 7.436, 7.436 and 6.366 Å, with angles of 90.00, 90.00 and 90.00 degrees. The inequivalent atoms are Ca at (0.166, 0.316, 0.000), Ag at (0.500, 0.500, 0.250) and Pd at (0.000, 0.000, 0.250).

---

The following is a DFT calculation (GGA-PBE) of crystalline Tc2HgCl at its relaxed geometry.

As for the polymorph energy (0 for the lowest one): 709 meV/atom. The density of states at the Fermi level comes out at 3.595 states/eV/f.u. For the energy relative to the elements, uncorrected, the calculation gives 0.769 eV/atom. The calculation puts the total energy at -4.952 eV per atom.

The space group is Cmmm (No. 65) and the conventional cell measures 2.871, 5.219 and 9.124 Å, with angles of 90.00, 90.00 and 90.00 degrees. The inequivalent atoms are Tc at (0.000, 0.000, 0.229), Hg at (0.000, 0.500, 0.500) and Cl at (0.000, 0.500, 0.000).

---

The following is a DFT calculation (GGA-PBE) of crystalline LiIr2Br at its relaxed geometry.

As for the polymorph energy (0 for the lowest one): 579 meV/atom. The density of states at the Fermi level comes out at 5.963 states/eV/f.u. For the energy relative to the elements, uncorrected, the calculation gives 0.679 eV/atom. The calculation puts the total energy at -4.648 eV per atom.

The space group is Cmmm (No. 65) and the conventional cell measures 2.773, 4.952 and 9.250 Å, with angles of 90.00, 90.00 and 90.00 degrees. The inequivalent atoms are Li at (0.000, 0.000, 0.000), Ir at (0.000, 0.500, 0.241) and Br at (0.000, 0.000, 0.500).

---

The following is a DFT calculation (GGA-PBE) of crystalline Rb5In2Sb4 at its relaxed geometry.

The density of states at the Fermi level comes out at 5.773 states/eV/f.u. For the energy relative to the elements, uncorrected, the calculation gives -0.252 eV/atom. The calculation puts the total energy at -2.688 eV per atom.

The space group is C2/m (No. 12) and the conventional cell measures 22.450, 5.639 and 8.561 Å, with angles of 90.00, 103.96 and 90.00 degrees. The inequivalent atoms are Rb at (0.000, 0.000, 0.000), Rb at (0.169, 0.500, 0.451), Rb at (0.170, 0.500, 0.953), In at (0.064, 0.000, 0.631), Sb at (0.006, 0.500, 0.671) and Sb at (0.191, 0.000, 0.717).

---

The following is a DFT calculation (GGA-PBE) of crystalline Ac2AgHg12 at its relaxed geometry.

The formation energy comes out at -0.1462 eV per atom. The density of states at the Fermi level comes out at 10.108 states/eV/f.u. The calculation puts the total energy at -1.126 eV per atom.

The space group is P4/nbm (No. 125, origin choice 2) and the conventional cell measures 6.988, 6.988 and 17.029 Å, with angles of 90.00, 90.00 and 90.00 degrees. The inequivalent atoms are Ac at (0.250, 0.750, 0.240), Ag at (0.250, 0.750, 0.000), Hg at (0.000, 0.000, 0.089), Hg at (0.095, 0.595, 0.429), Hg at (0.250, 0.250, 0.187) and Hg at (0.250, 0.250, 0.353).

---

The following is a DFT calculation (GGA-PBE) of crystalline Ge2AsRuSe at its relaxed geometry.

The density of states at the Fermi level comes out at 3.388 states/eV/f.u. For the energy relative to the elements, uncorrected, the calculation gives 0.445 eV/atom. The calculation puts the total energy at -4.884 eV per atom.

The space group is P4/mmm (No. 123) and the conventional cell measures 4.736, 4.736 and 5.019 Å, with angles of 90.00, 90.00 and 90.00 degrees. The inequivalent atoms are Ge at (0.000, 0.500, 0.000), As at (0.000, 0.000, 0.500), Ru at (0.500, 0.500, 0.000) and Se at (0.500, 0.500, 0.500).

---

The following is a DFT calculation (GGA-PBE) of crystalline TmAl4Ga at its relaxed geometry.

The formation energy comes out at -0.1762 eV per atom. As for the polymorph energy (0 for the lowest one): 70 meV/atom. The density of states at the Fermi level comes out at 3.056 states/eV/f.u. The calculation puts the total energy at -3.921 eV per atom.

The space group is F-43m (No. 216) and the conventional cell measures 7.719, 7.719 and 7.719 Å, with angles of 90.00, 90.00 and 90.00 degrees. The inequivalent atoms are Tm at (0.000, 0.000, 0.000), Al at (0.125, 0.125, 0.375) and Ga at (0.250, 0.250, 0.750).

---

The following is a DFT calculation (GGA-PBE) of crystalline AcLaSn at its relaxed geometry.

The formation energy comes out at -0.4286 eV per atom. As for the polymorph energy (0 for the lowest one): 172 meV/atom. The density of states at the Fermi level comes out at 4.497 states/eV/f.u. The calculation puts the total energy at -4.775 eV per atom.

The space group is F-43m (No. 216) and the conventional cell measures 7.806, 7.806 and 7.806 Å, with angles of 90.00, 90.00 and 90.00 degrees. The inequivalent atoms are Ac at (0.000, 0.000, 0.000), La at (0.000, 0.000, 0.500) and Sn at (0.250, 0.250, 0.750).

---

The following is a DFT calculation (GGA-PBE) of crystalline Ac2ZnIrPd at its relaxed geometry.

The formation energy comes out at -0.6205 eV per atom. The density of states at the Fermi level comes out at 2.466 states/eV/f.u. The calculation puts the total energy at -5.329 eV per atom.

The space group is P4/nmm (No. 129, origin choice 2) and the conventional cell measures 4.330, 4.330 and 14.129 Å, with angles of 90.00, 90.00 and 90.00 degrees. The inequivalent atoms are Ac at (0.250, 0.250, 0.105), Ac at (0.250, 0.250, 0.684), Zn at (0.250, 0.750, 0.500), Ir at (0.250, 0.250, 0.886) and Pd at (0.250, 0.250, 0.388).

---

The following is a DFT calculation (GGA-PBE) of crystalline ZnTeAs2 at its relaxed geometry.

As for the polymorph energy (0 for the lowest one): 262 meV/atom. The density of states at the Fermi level comes out at 2.152 states/eV/f.u. For the energy relative to the elements, uncorrected, the calculation gives 0.148 eV/atom. The calculation puts the total energy at -3.280 eV per atom.

The space group is Fmmm (No. 69) and the conventional cell measures 5.617, 5.805 and 10.662 Å, with angles of 90.00, 90.00 and 90.00 degrees. The inequivalent atoms are Zn at (0.000, 0.000, 0.000), Te at (0.000, 0.000, 0.500) and As at (0.000, 0.250, 0.250).

---

The following is a DFT calculation (GGA-PBE) of crystalline Ac3GeAs2Pd9 at its relaxed geometry.

The formation energy comes out at -0.6763 eV per atom. The density of states at the Fermi level comes out at 5.137 states/eV/f.u. The calculation puts the total energy at -5.541 eV per atom.

The space group is P-3m1 (No. 164) and the conventional cell measures 6.6719, 6.6719 and 8.6562 Å, with angles of 90.00, 90.00 and 120.00 degrees. The inequivalent atoms are Ac at (0.0000, 0.0000, 0.0000), Ac at (0.3333, 0.6667, 0.6590), Ge at (0.0000, 0.0000, 0.5000), As at (0.3333, 0.6667, 0.1799), Pd at (0.0000, 0.5000, 0.0000) and Pd at (0.1455, 0.2911, 0.2949).